1.
Density functional theory data (PBE-GGA) for a relaxed structure of YNiPd2.

Geometry as POSCAR:
```
YNiPd2
1.0
4.088 0.000 0.000
0.000 4.088 0.000
0.000 0.000 4.007
Y Ni Pd
1 1 2
Direct
0.000 0.000 0.000
0.500 0.500 0.000
0.000 0.500 0.500
0.500 0.000 0.500
```

Values from the calculation:
Total magnetic moment (μB per cell): 0.378
Polymorph energy (0 for the lowest one) (meV per atom): 0
Symmetry: P4/mmm

---

2.
Density functional theory data (PBE-GGA) for a relaxed structure of CoBr.

Geometry as POSCAR:
```
CoBr
1.0
5.258 0.000 0.000
-2.629 4.554 0.000
0.000 0.000 6.999
Co Br
4 4
Direct
0.333 0.667 0.093
0.333 0.667 0.407
0.667 0.333 0.593
0.667 0.333 0.907
0.000 0.000 0.250
0.000 0.000 0.750
0.333 0.667 0.750
0.667 0.333 0.250
```

Values from the calculation:
Total magnetic moment (μB per cell): 8.353
Formation energy from raw total energies (eV per atom): 0.967
Polymorph energy (0 for the lowest one) (meV per atom): 1081
Symmetry: P6_3/mmc

---

3.
Density functional theory data (PBE-GGA) for a relaxed structure of Sr3Dy3YS8.

Geometry as POSCAR:
```
Sr3Dy3YS8
1.0
4.000 2.309 6.856
-4.000 2.309 6.856
0.000 -4.619 6.856
Sr Dy Y S
3 3 1 8
Direct
0.000 0.500 0.500
0.500 0.000 0.500
0.500 0.500 0.000
0.000 0.000 0.500
0.000 0.500 0.000
0.500 0.000 0.000
0.500 0.500 0.500
0.242 0.741 0.741
0.243 0.243 0.243
0.259 0.259 0.758
0.259 0.758 0.259
0.741 0.242 0.741
0.741 0.741 0.242
0.757 0.757 0.757
0.758 0.259 0.259
```

Values from the calculation:
Total magnetic moment (μB per cell): 0.000
Formation energy from raw total energies (eV per atom): -2.088
Symmetry: R-3m

---

4.
Density functional theory data (PBE-GGA) for a relaxed structure of Hf2InAuBr.

Geometry as POSCAR:
```
Hf2InAuBr
1.0
5.731 0.000 0.000
0.000 5.731 0.000
0.000 0.000 5.222
Hf In Au Br
2 1 1 1
Direct
0.000 0.500 0.000
0.500 0.000 0.000
0.000 0.000 0.000
0.000 0.000 0.500
0.500 0.500 0.500
```

Values from the calculation:
Total magnetic moment (μB per cell): 2.688
Formation energy from raw total energies (eV per atom): 1.118
Symmetry: P4/mmm

---

5.
Density functional theory data (PBE-GGA) for a relaxed structure of YHfNb.

Geometry as POSCAR:
```
YHfNb
1.0
5.023 0.000 0.000
-2.511 4.350 0.000
0.000 0.000 3.203
Y Hf Nb
1 1 1
Direct
0.000 0.000 0.000
0.333 0.667 0.500
0.667 0.333 0.500
```

Values from the calculation:
Total magnetic moment (μB per cell): 0.000
Polymorph energy (0 for the lowest one) (meV per atom): 13
Symmetry: P-6m2

---

6.
Density functional theory data (PBE-GGA) for a relaxed structure of CaFe2Sb.

Geometry as POSCAR:
```
CaFe2Sb
1.0
3.778 -2.182 0.000
3.778 2.182 0.000
-2.534 0.000 5.179
Ca Fe Sb
1 2 1
Direct
0.000 0.000 0.000
0.182 0.182 0.546
0.818 0.818 0.454
0.500 0.500 0.500
```

Values from the calculation:
Total magnetic moment (μB per cell): 3.402
Formation energy from raw total energies (eV per atom): -0.019
Symmetry: C2/m

---

7.
Density functional theory data (PBE-GGA) for a relaxed structure of NdAl11O18.

Geometry as POSCAR:
```
NdAl11O18
1.0
4.892 0.000 0.000
2.406 5.040 0.000
0.363 1.467 12.375
Nd Al O
1 11 18
Direct
0.000 0.000 0.000
0.000 0.000 0.500
0.075 0.812 0.717
0.230 0.479 0.917
0.337 0.309 0.662
0.346 0.368 0.179
0.415 0.188 0.401
0.585 0.812 0.599
0.654 0.632 0.821
0.663 0.691 0.338
0.770 0.521 0.083
0.925 0.188 0.283
0.005 0.679 0.588
0.085 0.446 0.788
0.153 0.067 0.628
0.196 0.294 0.047
0.235 0.810 0.848
0.345 0.055 0.267
0.373 0.651 0.095
0.429 0.825 0.463
0.492 0.444 0.312
0.508 0.556 0.688
0.571 0.175 0.537
0.627 0.349 0.905
0.655 0.945 0.733
0.765 0.190 0.152
0.804 0.706 0.953
0.847 0.933 0.372
0.915 0.554 0.212
0.995 0.321 0.412
```

Values from the calculation:
Total magnetic moment (μB per cell): 0.000
Formation energy from raw total energies (eV per atom): -2.903
Polymorph energy (0 for the lowest one) (meV per atom): 55
Symmetry: P-1

---

8.
Density functional theory data (PBE-GGA) for a relaxed structure of ReRuSe2.

Geometry as POSCAR:
```
ReRuSe2
1.0
1.501 -2.631 0.000
1.501 2.631 0.000
0.000 0.000 8.345
Re Ru Se
1 1 2
Direct
0.000 0.000 0.000
0.000 0.000 0.500
0.500 0.500 0.250
0.500 0.500 0.750
```

Values from the calculation:
Total magnetic moment (μB per cell): 0.000
Formation energy from raw total energies (eV per atom): 0.833
Polymorph energy (0 for the lowest one) (meV per atom): 789
Symmetry: Cmmm

---

9.
Density functional theory data (PBE-GGA) for a relaxed structure of SrHoS2F.

Geometry as POSCAR:
```
SrHoS2F
1.0
3.968 0.000 0.000
0.000 3.968 0.000
0.000 0.000 14.066
Sr Ho S F
2 2 4 2
Direct
0.250 0.250 0.106
0.750 0.750 0.894
0.250 0.250 0.619
0.750 0.750 0.381
0.250 0.250 0.410
0.250 0.250 0.795
0.750 0.750 0.205
0.750 0.750 0.590
0.250 0.750 0.000
0.750 0.250 0.000
```

Values from the calculation:
Total magnetic moment (μB per cell): 0.000
Formation energy from raw total energies (eV per atom): -2.591
Symmetry: P4/nmm

---

10.
Density functional theory data (PBE-GGA) for a relaxed structure of ZnHgS2.

Geometry as POSCAR:
```
ZnHgS2
1.0
3.871 0.000 0.000
-1.935 3.352 0.000
0.000 0.000 6.615
Zn Hg S
1 1 2
Direct
0.000 0.000 0.000
0.333 0.667 0.491
0.333 0.667 0.870
0.667 0.333 0.282
```

Values from the calculation:
Total magnetic moment (μB per cell): 0.000
Formation energy from raw total energies (eV per atom): -0.290
Symmetry: P3m1

---

11.
Density functional theory data (PBE-GGA) for a relaxed structure of Dy3SiBi.

Geometry as POSCAR:
```
Dy3SiBi
1.0
4.389 0.000 0.000
0.000 6.854 0.000
0.000 0.000 9.451
Dy Si Bi
6 2 2
Direct
0.250 0.008 0.158
0.250 0.250 0.588
0.250 0.492 0.158
0.750 0.508 0.842
0.750 0.750 0.412
0.750 0.992 0.842
0.250 0.250 0.899
0.750 0.750 0.101
0.250 0.750 0.650
0.750 0.250 0.350
```

Values from the calculation:
Total magnetic moment (μB per cell): 0.000
Formation energy from raw total energies (eV per atom): -0.651
Symmetry: Pmmn

---

12.
Density functional theory data (PBE-GGA) for a relaxed structure of SnHSe.

Geometry as POSCAR:
```
SnHSe
1.0
4.380 0.000 0.000
0.000 4.175 0.000
-2.085 0.000 7.142
Sn H Se
2 2 2
Direct
0.000 0.000 0.000
0.260 0.000 0.556
0.099 0.000 0.279
0.561 0.500 0.278
0.444 0.500 0.034
0.673 0.500 0.528
```

Values from the calculation:
DFT total energy (eV per cell): -22.42
Total magnetic moment (μB per cell): 0.000
Symmetry: Pm